DFT (PBE) results for a relaxed LaHf2Hg2 crystal.

Lattice parameters (Å, degrees): 8.6637 8.6637 3.2995 90.00 90.00 90.00
Last column: nearest neighbours and their distance in Å.
Space group P4/mbm (No. 127)
Symmetry-distinct sites (fractional):
La 0.0000 0.0000 0.0000 (multiplicity 2)  4 Hg 3.28, 2 La 3.30
Hf 0.1430 0.3570 0.5000 (multiplicity 4)  6 Hg 2.97-3.07, 2 Hf 3.30
Hg 0.1553 0.6553 0.0000 (multiplicity 4)  6 Hf 2.97-3.07, 2 La 3.28, 2 Hg 3.30

Values from the calculation:
The energy above the lowest structure with this stoichiometry is 45.5 meV per atom. Its formation energy is 0.0378 eV/atom. As for the total moment: 0.0 μB/f.u.